1.
DFT (PBE-GGA) results for a relaxed BaAc4In crystal.

Values from the calculation:
- Crystal system: cubic
- E_form: 0.25 eV/atom

Lattice parameters (Å, degrees): 10.3800 10.3800 10.3800 90.00 90.00 90.00
Closest atoms and distances in Å follow each position.
Space group F-43m (No. 216)
Inequivalent atoms, fractional coordinates:
Ba  0.0000  0.0000  0.0000 (multiplicity 4)  12 Ac 4.31, 4 In 4.49
Ac  0.1234  0.1234  0.3766 (multiplicity 16)  6 Ac 3.62-3.72
In  0.2500  0.2500  0.7500 (multiplicity 4)  12 Ac 4.30, 4 Ba 4.49

***

2.
DFT (PBE-GGA) results for a relaxed MgMo2Se crystal.

Values from the calculation:
- Crystal system: cubic
- Relative energy among the computed polymorphs: 585 meV per atom

Lattice parameters (Å, degrees): 6.3600 6.3600 6.3600 90.00 90.00 90.00
Closest atoms and distances in Å follow each position.
Space group Fm-3m (No. 225)
Inequivalent atoms, fractional coordinates:
Mg  0.0000  0.0000  0.0000 (multiplicity 4)  8 Mo 2.75
Mo  0.2500  0.2500  0.2500 (multiplicity 8)  4 Mg 2.75, 4 Se 2.75
Se  0.0000  0.0000  0.5000 (multiplicity 4)  8 Mo 2.75

***

3.
DFT (PBE-GGA) results for a relaxed KLi2Au3 crystal.

Values from the calculation:
- Crystal system: orthorhombic
- E_form: -0.39 eV/atom
- Relative energy among the computed polymorphs: 17 meV per atom

Lattice parameters (Å, degrees): 11.4790 8.4155 5.5409 90.00 90.00 90.00
Closest atoms and distances in Å follow each position.
Space group Cmcm (No. 63)
Inequivalent atoms, fractional coordinates:
K  0.0000  0.1670  0.2500 (multiplicity 4)  9 Au 3.45-3.67, 4 Li 3.82
Li  0.1906  0.5000  0.0000 (multiplicity 8)  6 Au 2.65-2.68, 2 Li 2.77
Au  0.0000  0.4227  0.7500 (multiplicity 4)  4 Li 2.67, 2 Au 2.87
Au  0.2054  0.2282  0.7500 (multiplicity 8)  4 Li 2.65-2.68, 1 Au 2.87

***

4.
DFT (PBE-GGA) results for a relaxed VIrRu2 crystal.

Values from the calculation:
- Crystal system: cubic
- E_form: 0.18 eV/atom
- Relative energy among the computed polymorphs: 466 meV per atom

Lattice parameters (Å, degrees): 6.1086 6.1086 6.1086 90.00 90.00 90.00
Closest atoms and distances in Å follow each position.
Space group Fm-3m (No. 225)
Inequivalent atoms, fractional coordinates:
V  0.0000  0.0000  0.0000 (multiplicity 4)  8 Ru 2.65
Ir  0.0000  0.0000  0.5000 (multiplicity 4)  8 Ru 2.65
Ru  0.2500  0.2500  0.2500 (multiplicity 8)  4 Ir 2.65, 4 V 2.65

***

5.
DFT (PBE-GGA) results for a relaxed Sm4ErTm2 crystal.

Values from the calculation:
- Crystal system: monoclinic
- E_form: 0.13 eV/atom
- Relative energy among the computed polymorphs: 78 meV per atom

Lattice parameters (Å, degrees): 6.2023 6.5649 11.4934 90.00 104.98 90.00
Closest atoms and distances in Å follow each position.
Space group P2_1/m (No. 11)
Inequivalent atoms, fractional coordinates:
Sm  0.0418  0.2500  0.3652 (multiplicity 2)  3 Er 3.33-3.49, 2 Sm 3.35, 3 Tm 3.39-3.46
Sm  0.1487  0.2500  0.9500 (multiplicity 2)  1 Er 3.29, 4 Tm 3.40-3.43, 4 Sm 3.43-3.56
Sm  0.3505  0.5087  0.2147 (multiplicity 4)  4 Sm 3.17-3.43, 1 Er 3.42, 1 Tm 3.49
Er  0.1539  0.2500  0.6643 (multiplicity 2)  6 Sm 3.29-3.49, 1 Tm 3.43
Tm  0.2898  0.7500  0.9228 (multiplicity 2)  9 Sm 3.40-3.64
Tm  0.3895  0.7500  0.5045 (multiplicity 2)  6 Sm 3.39-3.64, 1 Er 3.43, 2 Tm 3.57

***

6.
DFT (PBE-GGA) results for a relaxed Sr2YAs crystal.

Values from the calculation:
- Crystal system: monoclinic
- E_form: -0.35 eV/atom

Lattice parameters (Å, degrees): 4.3541 4.3505 6.8690 90.00 93.51 90.00
Closest atoms and distances in Å follow each position.
Space group P2/m (No. 10)
Inequivalent atoms, fractional coordinates:
Sr  0.0407  0.0000  0.2792 (multiplicity 2)  1 Sr 3.07, 2 As 3.26
Y  0.5000  0.5000  0.0000 (multiplicity 1)  2 As 3.43, 8 Sr 3.59-3.66
As  0.5000  0.5000  0.5000 (multiplicity 1)  8 Sr 3.26-3.61, 2 Y 3.43

***

7.
DFT (PBE-GGA) results for a relaxed Sr2AgHgAu crystal.

Values from the calculation:
- Crystal system: monoclinic
- E_form: -0.52 eV/atom
- Relative energy among the computed polymorphs: 0 meV per atom

Lattice parameters (Å, degrees): 7.8678 4.8208 8.2108 90.00 110.59 90.00
Closest atoms and distances in Å follow each position.
Space group P2_1/m (No. 11)
Inequivalent atoms, fractional coordinates:
Sr  0.0458  0.2500  0.2037 (multiplicity 2)  3 Au 3.18-3.23, 3 Hg 3.42-3.46
Sr  0.3617  0.7500  0.6343 (multiplicity 2)  3 Au 3.23-3.31, 2 Hg 3.36, 3 Ag 3.42-3.60
Ag  0.3339  0.2500  0.9491 (multiplicity 2)  1 Au 2.86, 3 Hg 2.99-3.04
Hg  0.3390  0.7500  0.1670 (multiplicity 2)  3 Ag 2.99-3.04
Au  0.0776  0.2500  0.6005 (multiplicity 2)  1 Ag 2.86, 2 Au 2.93, 1 Sr 3.18

***

8.
DFT (PBE-GGA) results for a relaxed K2RbAlBr6 crystal.

Values from the calculation:
- Final energy: -124.1 eV per cell
- Crystal system: cubic

Lattice parameters (Å, degrees): 11.4628 11.4628 11.4628 90.00 90.00 90.00
Closest atoms and distances in Å follow each position.
Space group Fm-3m (No. 225)
Inequivalent atoms, fractional coordinates:
K  0.2500  0.2500  0.2500 (multiplicity 8)  12 Br 4.07
Rb  0.0000  0.0000  0.0000 (multiplicity 4)  6 Br 3.21
Al  0.0000  0.0000  0.5000 (multiplicity 4)  6 Br 2.52
Br  0.0000  0.0000  0.2803 (multiplicity 24)  1 Al 2.52